(1)
This record from Alexandria via LeMat-Bulk describes an optimized crystal structure of Ce10Ge3Bi3. The functional is PBE.

Properties
For the energy of formation, the calculation gives -54.1 kJ/mol of atoms.

abc: 9.1705 9.1705 6.3599
angles: 90.00 90.00 120.00
Atoms (fractional coordinates):
Ce 0.0000 0.2535 0.0000
Ce 0.0000 0.7470 0.5000
Ce 0.2530 0.2530 0.5000
Ce 0.2535 0.0000 0.0000
Ce 0.3333 0.6667 0.2842
Ce 0.3333 0.6667 0.7158
Ce 0.6667 0.3333 0.2842
Ce 0.6667 0.3333 0.7158
Ce 0.7465 0.7465 0.0000
Ce 0.7470 0.0000 0.5000
Ge 0.0000 0.3756 0.5000
Ge 0.3756 0.0000 0.5000
Ge 0.6244 0.6244 0.5000
Bi 0.0000 0.6080 0.0000
Bi 0.3920 0.3920 0.0000
Bi 0.6080 0.0000 0.0000



(2)
This record from Alexandria via LeMat-Bulk describes an optimized crystal structure of Li7Nd3Zr2O12. The functional is PBE.

Properties
For the energy relative to the elements, uncorrected, the calculation gives -2.737 eV/atom.

abc: 11.1853 11.1853 11.1853
angles: 108.49 108.49 111.46
Atoms (fractional coordinates):
Li 0.0576 0.8076 0.6152
Li 0.1071 0.2741 0.9918
Li 0.1152 0.1071 0.3330
Li 0.1250 0.8750 0.2500
Li 0.1924 0.3076 0.2500
Li 0.2177 0.8848 0.4918
Li 0.2259 0.3929 0.5082
Li 0.2741 0.7823 0.1670
Li 0.2823 0.7741 0.6670
Li 0.3076 0.5576 0.1152
Li 0.3750 0.6250 0.7500
Li 0.3848 0.7177 0.9918
Li 0.3929 0.3848 0.1670
Li 0.4424 0.0576 0.7500
Li 0.5576 0.9424 0.2500
Li 0.6071 0.6152 0.8330
Li 0.6152 0.2823 0.0082
Li 0.6250 0.3750 0.2500
Li 0.6924 0.4424 0.8848
Li 0.7177 0.2259 0.3330
Li 0.7259 0.2177 0.8330
Li 0.7741 0.6071 0.4918
Li 0.7823 0.1152 0.5082
Li 0.8076 0.6924 0.7500
Li 0.8750 0.1250 0.7500
Li 0.8848 0.8929 0.6670
Li 0.8929 0.7259 0.0082
Li 0.9424 0.1924 0.3848
Nd 0.1223 0.7500 0.8723
Nd 0.1250 0.3750 0.7500
Nd 0.2500 0.1223 0.8723
Nd 0.2500 0.6223 0.3723
Nd 0.3750 0.1250 0.2500
Nd 0.3777 0.2500 0.6277
Nd 0.6223 0.7500 0.3723
Nd 0.6250 0.8750 0.7500
Nd 0.7500 0.3777 0.6277
Nd 0.7500 0.8777 0.1277
Nd 0.8750 0.6250 0.2500
Nd 0.8777 0.2500 0.1277
Zr 0.0000 0.0000 0.0000
Zr 0.0000 0.0000 0.5000
Zr 0.0000 0.5000 0.0000
Zr 0.0000 0.5000 0.5000
Zr 0.5000 0.0000 0.0000
Zr 0.5000 0.0000 0.5000
Zr 0.5000 0.5000 0.0000
Zr 0.5000 0.5000 0.5000
O 0.0233 0.1153 0.7060
O 0.0282 0.9031 0.8210
O 0.0821 0.4031 0.3749
O 0.0906 0.6827 0.2060
O 0.0969 0.4179 0.1251
O 0.0978 0.6884 0.4772
O 0.1153 0.9094 0.0920
O 0.1206 0.2112 0.5228
O 0.1827 0.5906 0.7060
O 0.1884 0.5978 0.9772
O 0.2072 0.0282 0.6251
O 0.2112 0.1884 0.0906
O 0.2888 0.3794 0.9772
O 0.2928 0.9179 0.8210
O 0.3116 0.2888 0.4094
O 0.3173 0.0233 0.4080
O 0.3794 0.9022 0.0906
O 0.3847 0.4767 0.7940
O 0.4022 0.8794 0.5906
O 0.4031 0.5282 0.3210
O 0.4094 0.6153 0.5920
O 0.4179 0.7928 0.3210
O 0.4718 0.2928 0.8749
O 0.4767 0.1827 0.0920
O 0.5233 0.8173 0.9080
O 0.5282 0.7072 0.1251
O 0.5821 0.2072 0.6790
O 0.5906 0.3847 0.4080
O 0.5969 0.4718 0.6790
O 0.5978 0.1206 0.4094
O 0.6153 0.5233 0.2060
O 0.6206 0.0978 0.9094
O 0.6827 0.9767 0.5920
O 0.6884 0.7112 0.5906
O 0.7072 0.0821 0.1790
O 0.7112 0.6206 0.0228
O 0.7888 0.8116 0.9094
O 0.7928 0.9718 0.3749
O 0.8116 0.4022 0.0228
O 0.8173 0.4094 0.2940
O 0.8794 0.7888 0.4772
O 0.8847 0.0906 0.9080
O 0.9022 0.3116 0.5228
O 0.9031 0.5821 0.8749
O 0.9094 0.3173 0.7940
O 0.9179 0.5969 0.6251
O 0.9718 0.0969 0.1790
O 0.9767 0.8847 0.2940



Q: Which E_tot values were calculated for the entries above? A: -5.863; -7.083, in eV per atom.